# 1
An optimized crystal structure of La3ThH. Source: the Alexandria database, functional PBE-GGA.

```
La3ThH
1.0
-0.964 -3.278 3.907
4.520 1.292 2.199
-2.361 3.811 2.615
Th La H
1 3 1
Cartesian
0.597 0.912 4.360
-1.181 1.905 1.307
-0.482 -1.639 1.953
2.260 0.646 1.100
0.000 0.000 0.000
```

Results
For the raw total energy, the calculation gives -26.3 eV per cell. The calculation puts the density of states at the Fermi level at 6.04 states/eV/f.u.

=====

# 2
An optimized crystal structure of PmTiGa2. Source: the Alexandria database, functional PBE-GGA.

```
PmTiGa2
1.0
-0.451 3.210 -1.389
-0.270 0.386 -3.495
-8.285 0.294 -1.106
Pm Ga Ti
1 2 1
Cartesian
-4.503 1.945 -2.995
-1.985 1.003 -1.515
-7.022 2.888 -4.475
0.000 0.000 0.000
```

Results
For the raw total energy, the calculation gives -19.5 eV per cell. Its excess energy over the best structure of this formula in the dataset is 224.4 meV per atom. The calculation puts the density of states at the Fermi level at 3.18 states/eV/f.u. For the formation energy, the calculation gives -0.20 eV per atom.

=====

# 3
An optimized crystal structure of NbH2Pd8. Source: the Alexandria database, functional PBE-GGA.

```
NbH2Pd8
1.0
-1.665 -3.294 2.871
0.620 0.252 7.947
-4.445 1.505 6.447
Nb Pd H
1 8 2
Cartesian
0.000 0.000 0.000
-1.975 -1.993 5.006
-3.781 -1.026 6.916
-3.516 0.456 12.260
-1.204 -1.664 7.679
-3.848 -2.058 11.279
-4.286 0.126 9.587
-1.710 -0.512 10.349
-1.643 0.520 5.986
-4.179 -0.971 13.306
-1.312 -0.567 3.960
```

Results
For the raw total energy, the calculation gives -59.0 eV per cell. The calculation puts the density of states at the Fermi level at 4.19 states/eV/f.u.

=====

# 4
An optimized crystal structure of Pm4TeS2N. Source: the Alexandria database, functional PBE-GGA.

```
Pm4TeS2N
1.0
-3.984 -2.683 -5.449
1.353 -5.633 -3.057
-4.695 -4.496 0.805
Pm N S Te
4 1 2 1
Cartesian
-4.148 -4.501 -2.639
-1.701 -7.316 -3.042
-3.384 -5.917 -6.089
-5.419 -7.889 -3.631
-3.663 -6.406 -3.850
-5.494 -9.610 -5.775
-1.832 -3.201 -1.926
1.353 -5.633 -3.057
```

Results
For the raw total energy, the calculation gives -50.2 eV per cell. The calculation puts the density of states at the Fermi level at 7.34 states/eV/f.u. As for the uncorrected formation energy: -1.4361 eV per atom.

=====

# 5
An optimized crystal structure of Dy5SnSe5. Source: the Alexandria database, functional PBE-GGA.

```
Dy5SnSe5
1.0
5.857 0.000 0.000
-2.928 6.113 -2.300
0.000 0.342 8.277
Se Dy Sn
5 5 1
Cartesian
0.000 4.309 3.964
0.000 0.171 4.139
2.928 2.376 6.150
0.000 4.080 -0.173
2.928 2.146 2.013
2.928 4.294 3.925
2.928 4.157 -0.073
0.000 2.298 6.050
2.928 0.000 0.000
0.000 2.162 2.052
0.000 0.000 0.000
```

Results
For the raw total energy, the calculation gives -62.5 eV per cell. The calculation puts the density of states at the Fermi level at 2.36 states/eV/f.u. As for the uncorrected formation energy: -1.6425 eV per atom.

=====

# 6
An optimized crystal structure of In2PW. Source: the Alexandria database, functional PBE-GGA.

```
In2PW
1.0
-1.529 -1.747 -2.521
-2.997 -1.807 3.070
-2.915 3.599 -0.727
In W P
2 1 1
Cartesian
0.000 0.000 0.000
-2.263 -1.777 0.274
-2.956 0.896 1.171
-2.222 0.926 -1.624
```

Results
For the raw total energy, the calculation gives -20.7 eV per cell. The calculation puts the density of states at the Fermi level at 3.13 states/eV/f.u. For the formation energy, the calculation gives 0.78 eV per atom.

=====

# 7
An optimized crystal structure of Cs2GaAu. Source: the Alexandria database, functional PBE-GGA.

```
Cs2GaAu
1.0
4.544 0.000 0.000
2.272 3.935 0.000
2.272 1.312 12.095
Cs Ga Au
2 1 1
Cartesian
2.272 1.312 8.398
6.816 3.935 3.696
0.000 0.000 0.000
4.544 2.623 6.047
```

Results
For the raw total energy, the calculation gives -7.1 eV per cell. Its excess energy over the best structure of this formula in the dataset is 403.6 meV per atom. The calculation puts the density of states at the Fermi level at 4.24 states/eV/f.u. For the formation energy, the calculation gives 0.22 eV per atom.

=====

# 8
An optimized crystal structure of Dy4MgCu3. Source: the Alexandria database, functional PBE-GGA.

```
Dy4MgCu3
1.0
-1.114 -0.817 -3.266
-4.065 -2.226 1.943
-4.951 8.632 -0.469
Dy Cu Mg
4 3 1
Cartesian
-2.476 4.316 -0.235
-3.346 1.178 0.847
0.000 0.000 0.000
-5.669 5.229 0.627
-5.065 2.795 -0.896
-1.746 1.664 -1.746
-4.320 6.151 -1.990
-2.590 -1.521 -0.662
```

Results
For the raw total energy, the calculation gives -33.7 eV per cell. The calculation puts the density of states at the Fermi level at 5.70 states/eV/f.u. For the formation energy, the calculation gives -0.17 eV per atom.

=====

# 9
An optimized crystal structure of PuMgZrO6. Source: the Alexandria database, functional PBE-GGA.

```
PuMgZrO6
1.0
-2.619 -2.506 -4.172
4.651 -2.173 2.047
-4.827 -4.776 5.898
O Zr Mg Pu
12 2 2 2
Cartesian
-1.281 -7.939 4.428
-1.454 -3.791 4.408
0.677 -6.028 4.341
-1.139 -5.598 6.440
-3.471 -3.427 -0.568
0.671 -3.703 -0.639
-1.104 -3.367 1.418
-1.690 -6.088 2.355
-1.513 -1.516 -0.656
-1.655 -3.858 -2.668
-1.340 -5.664 -0.636
-3.465 -5.752 4.412
-3.815 -5.977 2.324
1.021 -3.478 1.448
-2.413 -2.388 2.949
0.000 0.000 0.000
-1.402 -3.589 -0.625
-1.392 -5.866 4.397
```

Results
For the raw total energy, the calculation gives -156.9 eV per cell. The calculation puts the density of states at the Fermi level at 7.13 states/eV/f.u. As for the uncorrected formation energy: -2.6899 eV per atom.

=====

# 10
An optimized crystal structure of Ga5Au7. Source: the Alexandria database, functional PBE-GGA.

```
Ga5Au7
1.0
0.649 -2.695 2.243
-2.024 -5.728 -3.484
12.008 0.376 5.123
Au Ga
7 5
Cartesian
1.857 -4.809 -0.810
7.539 -6.061 1.623
-0.368 -2.798 -0.406
3.094 -1.987 2.259
5.316 -4.024 1.941
8.775 -3.238 4.692
11.001 -5.249 4.288
2.783 -4.755 1.844
5.025 -6.798 1.539
5.608 -1.249 2.343
7.849 -3.292 2.038
0.000 0.000 0.000
```

Results
For the raw total energy, the calculation gives -39.6 eV per cell. The calculation puts the density of states at the Fermi level at 2.89 states/eV/f.u. For the formation energy, the calculation gives -0.13 eV per atom.

=====

# 11
An optimized crystal structure of Li2SnGe. Source: the Alexandria database, functional PBE-GGA.

```
Li2SnGe
1.0
3.395 0.000 0.000
0.000 3.395 0.000
0.000 0.000 6.309
Sn Li Ge
1 2 1
Cartesian
1.697 1.697 0.000
0.000 0.000 1.749
0.000 0.000 4.560
1.697 1.697 3.155
```

Results
For the raw total energy, the calculation gives -13.5 eV per cell. Its excess energy over the best structure of this formula in the dataset is 27.4 meV per atom. The calculation puts the density of states at the Fermi level at 1.03 states/eV/f.u. For the formation energy, the calculation gives -0.25 eV per atom.

=====

# 12
An optimized crystal structure of PmDy2ErSe6. Source: the Alexandria database, functional PBE-GGA.

```
PmDy2ErSe6
1.0
-3.960 -0.771 6.018
0.820 -5.883 4.147
3.558 0.835 6.810
Se Dy Er Pm
6 2 1 1
Cartesian
-1.341 -1.585 6.285
-0.082 -0.652 9.969
0.746 -5.369 6.853
-2.254 -4.080 9.741
1.665 -3.929 10.541
2.518 -1.845 7.534
-0.003 -3.050 8.330
3.383 0.718 6.680
-0.845 -2.084 3.538
-0.580 -4.958 12.067
```

Results
For the raw total energy, the calculation gives -57.9 eV per cell. The calculation puts the density of states at the Fermi level at 0.00 states/eV/f.u. As for the uncorrected formation energy: -1.8473 eV per atom.

=====

# 13
An optimized crystal structure of AcLaCoBr. Source: the Alexandria database, functional PBE-GGA.

```
AcLaCoBr
1.0
-1.362 -2.107 3.276
2.629 -1.769 -2.643
6.326 4.771 3.103
Ac La Co Br
1 1 1 1
Cartesian
4.000 1.892 3.372
2.727 -1.599 -2.001
6.612 2.570 2.296
1.903 -1.014 3.229
```

Results
For the raw total energy, the calculation gives -20.9 eV per cell. The calculation puts the density of states at the Fermi level at 1.40 states/eV/f.u. As for the uncorrected formation energy: -0.7796 eV per atom.

=====

Ρ per entry: 7.72, 6.32, 10.29, 6.08, 7.32, 9.87, 4.09, 8.09, 6.36, 13.09, 4.69, 6.25, 6.96 g/cm³